No. 1
Computed, not measured: BaMg2ZnGa2 after structural relaxation at the PBE level of DFT.

## Properties
Space group: Pnnm, No. 58

Cell lengths 5.264, 12.833, 4.877 Å; angles 90.00, 90.00, 90.00 degrees
Fractional positions:
Ba 0.000 0.000 0.000
Ba 0.500 0.500 0.500
Mg 0.224 0.227 0.500
Mg 0.276 0.727 0.000
Mg 0.724 0.273 0.000
Mg 0.776 0.773 0.500
Zn 0.000 0.500 0.000
Zn 0.500 0.000 0.500
Ga 0.228 0.335 0.000
Ga 0.272 0.835 0.500
Ga 0.728 0.165 0.500
Ga 0.772 0.665 0.000

No. 2
Computed, not measured: BaMnGa2 after structural relaxation at the PBE level of DFT.

## Properties
Space group: I4_1/amd, No. 141

Cell lengths 8.886, 8.886, 8.886 Å; angles 146.02, 146.02, 48.82 degrees
Fractional positions:
Ba 0.375 0.625 0.750
Ba 0.625 0.375 0.250
Mn 0.125 0.875 0.250
Mn 0.875 0.125 0.750
Ga 0.000 0.000 0.000
Ga 0.000 0.000 0.500
Ga 0.000 0.500 0.000
Ga 0.500 0.000 0.500

No. 3
Computed, not measured: Ba2Mn2Ga after structural relaxation at the PBE level of DFT.

## Properties
Space group: P4/mbm, No. 127

Cell lengths 7.324, 7.324, 5.253 Å; angles 90.00, 90.00, 90.00 degrees
Fractional positions:
Ba 0.178 0.322 0.000
Ba 0.322 0.822 0.000
Ba 0.678 0.178 0.000
Ba 0.822 0.678 0.000
Mn 0.135 0.635 0.500
Mn 0.365 0.135 0.500
Mn 0.635 0.865 0.500
Mn 0.865 0.365 0.500
Ga 0.000 0.000 0.500
Ga 0.500 0.500 0.500

Values of theoretical density, in order: 3.94 5.05 5.35, all in g cm⁻³.
Values of total magnetic moment, in order: 0.000 0.675 1.375, all in μB per atom.
Values of calculated formation energy, in order: -0.13 0.05 0.39, all in eV/atom.